[1]
## U3Ni5As2 (GGA-PBE)

Data for a relaxed structure of U3Ni5As2.

Geometry as POSCAR:
```
U3Ni5As2
1.0
-5.463 5.873 2.660
5.463 -5.873 2.660
5.463 5.873 -2.660
U Ni As
6 10 4
Cartesian
7.446 1.528 0.000
0.000 0.000 1.330
1.983 4.345 0.000
3.480 1.528 2.660
0.000 0.000 3.990
-1.983 4.345 2.660
5.463 3.379 -1.330
4.372 1.717 0.000
5.463 0.000 1.330
4.372 -1.717 2.660
0.000 2.494 1.330
5.463 3.379 1.330
1.091 7.590 0.000
0.000 5.873 1.330
1.091 4.156 2.660
0.000 2.494 3.990
2.113 1.366 0.000
2.113 -1.366 2.660
3.349 7.239 0.000
3.349 4.508 2.660
```

Output
E = -7.43 eV/atom
Energy of formation = -219 meV/atom
Space group = Ibam
Total moment = 11.4 Bohr magnetons per cell
Calculated density = 11.26 g/cm3

=====

[2]
## UNiAs2 (GGA-PBE)

Data for a relaxed structure of UNiAs2.

Geometry as POSCAR:
```
UNiAs2
1.0
3.947 0.000 0.000
0.000 3.947 0.000
0.000 0.000 9.175
U Ni As
2 2 4
Cartesian
0.987 0.987 2.259
2.960 2.960 6.916
0.987 2.960 4.588
2.960 0.987 4.588
0.987 0.987 6.039
0.987 2.960 0.000
2.960 0.987 0.000
2.960 2.960 3.137
```

Output
E = -7.20 eV/atom
Energy of formation = -611 meV/atom
Space group = P4/nmm
Total moment = 3.0 Bohr magnetons per cell
Calculated density = 10.37 g/cm3

=====

[3]
## UNi6As4 (GGA-PBE)

Data for a relaxed structure of UNi6As4.

Geometry as POSCAR:
```
UNi6As4
1.0
-3.127 3.127 4.234
3.127 -3.127 4.234
3.127 3.127 -4.234
U Ni As
1 6 4
Cartesian
0.000 0.000 0.000
3.127 0.000 0.000
2.190 2.190 -0.965
0.937 -0.937 5.199
0.000 3.127 0.000
0.937 0.937 3.269
-0.937 0.937 5.199
1.344 -1.344 2.889
1.783 1.783 1.345
-1.344 1.344 2.889
1.344 1.344 5.579
```

Output
E = -6.19 eV/atom
Energy of formation = -320 meV/atom
Space group = I-42m
Total moment = 2.5 Bohr magnetons per cell
Calculated density = 8.92 g/cm3
Excess energy over the best structure of this formula in the dataset = 33 meV/atom

=====

[4]
## UNi6As4 (GGA-PBE)

Data for a relaxed structure of UNi6As4.

Geometry as POSCAR:
```
UNi6As4
1.0
6.891 0.000 0.000
-3.446 5.968 0.000
0.000 0.000 3.766
U Ni As
1 6 4
Cartesian
0.000 0.000 0.000
0.000 2.455 1.883
-1.320 4.740 1.883
3.446 0.458 0.000
2.120 2.755 0.000
1.320 4.740 1.883
4.771 2.755 0.000
0.000 3.979 0.000
1.932 1.115 1.883
4.959 1.115 1.883
3.446 3.737 1.883
```

Output
E = -6.22 eV/atom
Energy of formation = -353 meV/atom
Space group = P-6m2
Total moment = 2.9 Bohr magnetons per cell
Calculated density = 9.54 g/cm3
Excess energy over the best structure of this formula in the dataset = 0 meV/atom

=====

[5]
## UNiAs2 (GGA-PBE)

Data for a relaxed structure of UNiAs2.

Geometry as POSCAR:
```
UNiAs2
1.0
4.266 0.000 0.000
0.000 4.266 0.000
0.000 0.000 3.786
U Ni As
1 1 2
Cartesian
0.000 0.000 0.000
2.133 2.133 0.000
0.000 2.133 1.893
2.133 0.000 1.893
```

Output
E = -7.02 eV/atom
Energy of formation = -425 meV/atom
Space group = P4/mmm
Total moment = 0.0 Bohr magnetons per cell
Calculated density = 10.76 g/cm3

=====

[6]
## UNiAs (GGA-PBE)

Data for a relaxed structure of UNiAs.

Geometry as POSCAR:
```
UNiAs
1.0
-1.350 1.350 7.188
1.350 -1.350 7.188
1.350 1.350 -7.188
U Ni As
1 1 1
Cartesian
0.000 0.000 0.000
0.000 0.000 11.723
0.000 0.000 2.974
```

Output
E = -6.90 eV/atom
Energy of formation = 341 meV/atom
Space group = I4mm
Total moment = 0.9 Bohr magnetons per cell
Calculated density = 11.77 g/cm3

=====

[7]
## UNiAs2 (GGA-PBE)

Data for a relaxed structure of UNiAs2.

Geometry as POSCAR:
```
UNiAs2
1.0
1.999 1.154 5.388
-1.999 1.154 5.388
0.000 -2.308 5.388
U Ni As
1 1 2
Cartesian
0.000 0.000 0.000
0.000 0.000 8.082
0.000 0.000 3.778
0.000 0.000 12.387
```

Output
E = -6.94 eV/atom
Energy of formation = -350 meV/atom
Space group = R-3m
Total moment = 2.2 Bohr magnetons per cell
Calculated density = 9.95 g/cm3

=====

[8]
## U3Ni3As4 (GGA-PBE)

Data for a relaxed structure of U3Ni3As4.

Geometry as POSCAR:
```
U3Ni3As4
1.0
-4.474 4.474 4.474
4.474 -4.474 4.474
4.474 4.474 -4.474
U Ni As
6 6 8
Cartesian
6.711 1.118 0.000
3.355 0.000 2.237
2.237 3.355 0.000
0.000 2.237 3.355
1.118 0.000 6.711
0.000 6.711 1.118
4.474 -2.237 3.355
3.355 4.474 -2.237
4.474 2.237 1.118
2.237 1.118 4.474
1.118 4.474 2.237
-2.237 3.355 4.474
3.739 0.735 -0.735
5.976 -1.502 1.502
0.735 0.735 0.735
0.735 -0.735 3.739
-0.735 3.739 0.735
1.502 5.976 -1.502
2.972 2.972 2.972
-1.502 1.502 5.976
```

Output
E = -7.61 eV/atom
Energy of formation = -633 meV/atom
Space group = I-43d
Total moment = 12.1 Bohr magnetons per cell
Calculated density = 11.03 g/cm3

=====

[9]
## UNi4As (GGA-PBE)

Data for a relaxed structure of UNi4As.

Geometry as POSCAR:
```
UNi4As
1.0
0.000 3.462 3.462
3.462 0.000 3.462
3.462 3.462 0.000
U Ni As
1 4 1
Cartesian
0.000 0.000 0.000
4.328 2.597 2.597
2.597 4.328 2.597
2.597 2.597 4.328
4.328 4.328 4.328
1.731 1.731 1.731
```

Output
E = -6.75 eV/atom
Energy of formation = -235 meV/atom
Space group = F-43m
Total moment = 0.6 Bohr magnetons per cell
Calculated density = 10.96 g/cm3
Excess energy over the best structure of this formula in the dataset = 0 meV/atom

=====

[10]
## UNiAs (GGA-PBE)

Data for a relaxed structure of UNiAs.

Geometry as POSCAR:
```
UNiAs
1.0
0.000 4.903 6.119
3.692 0.000 6.119
3.692 4.903 0.000
U Ni As
4 4 4
Cartesian
0.000 0.000 0.000
1.846 2.452 0.000
1.846 0.000 3.059
0.000 2.452 3.059
2.769 3.677 2.663
4.615 6.129 5.723
2.769 3.677 6.515
4.615 6.129 9.574
2.769 2.246 4.589
4.615 4.698 7.648
2.769 5.109 4.589
4.615 7.560 7.648
```

Output
E = -7.42 eV/atom
Energy of formation = -180 meV/atom
Space group = Fddd
Total moment = 10.5 Bohr magnetons per cell
Calculated density = 11.14 g/cm3

=====

[11]
## UNi2As3 (GGA-PBE)

Data for a relaxed structure of UNi2As3.

Geometry as POSCAR:
```
UNi2As3
1.0
3.686 0.000 0.000
0.000 10.543 0.000
0.000 0.000 5.276
U Ni As
2 4 6
Cartesian
0.000 1.186 0.000
0.000 9.357 2.638
0.000 2.505 2.458
0.000 8.038 5.096
1.843 5.107 2.592
1.843 5.436 5.230
0.000 4.236 4.092
0.000 6.307 1.454
1.843 1.089 3.035
1.843 3.242 1.038
1.843 7.302 3.676
1.843 9.454 0.397
```

Output
E = -6.49 eV/atom
Energy of formation = -354 meV/atom
Space group = Pmc2_1
Total moment = 4.9 Bohr magnetons per cell
Calculated density = 9.40 g/cm3

=====

[12]
## U2Ni3As (GGA-PBE)

Data for a relaxed structure of U2Ni3As.

Geometry as POSCAR:
```
U2Ni3As
1.0
0.000 4.276 7.406
3.095 0.000 7.406
3.095 4.276 0.000
U Ni As
4 6 2
Cartesian
4.891 4.276 7.406
1.547 2.138 3.703
4.642 6.415 11.108
1.299 4.276 7.406
3.095 4.276 2.520
3.095 2.206 6.163
3.095 2.206 8.648
3.095 6.347 6.163
3.095 6.347 8.648
3.095 4.276 12.291
3.095 4.276 4.998
3.095 4.276 9.813
```

Output
E = -7.77 eV/atom
Energy of formation = -342 meV/atom
Space group = Fmmm
Total moment = 5.8 Bohr magnetons per cell
Calculated density = 12.32 g/cm3

=====

[13]
## UNi2As (GGA-PBE)

Data for a relaxed structure of UNi2As.

Geometry as POSCAR:
```
UNi2As
1.0
4.061 0.000 0.000
0.000 3.970 0.000
-0.488 0.000 4.136
U Ni As
1 2 1
Cartesian
0.000 0.000 0.000
0.810 1.985 3.009
2.762 1.985 1.127
1.786 0.000 2.068
```

Output
E = -7.07 eV/atom
Energy of formation = -191 meV/atom
Space group = P2/m
Total moment = 0.0 Bohr magnetons per cell
Calculated density = 10.72 g/cm3

=====

[14]
## UNi4As2 (GGA-PBE)

Data for a relaxed structure of UNi4As2.

Geometry as POSCAR:
```
UNi4As2
1.0
7.203 0.000 0.000
0.000 7.203 0.000
0.000 0.000 3.833
U Ni As
2 8 4
Cartesian
0.000 0.000 0.000
3.602 3.602 1.916
0.673 2.514 1.916
1.088 4.275 0.000
2.514 0.673 1.916
2.929 6.115 0.000
4.275 1.088 0.000
4.689 6.530 1.916
6.115 2.929 0.000
6.530 4.689 1.916
1.555 5.648 1.916
2.046 2.046 0.000
5.157 5.157 0.000
5.648 1.555 1.916
```

Output
E = -6.69 eV/atom
Energy of formation = -445 meV/atom
Space group = P4_2/mnm
Total moment = 2.8 Bohr magnetons per cell
Calculated density = 10.40 g/cm3

=====

[15]
## UNi12As4 (GGA-PBE)

Data for a relaxed structure of UNi12As4.

Geometry as POSCAR:
```
UNi12As4
1.0
-3.963 3.963 3.963
3.963 -3.963 3.963
3.963 3.963 -3.963
U Ni As
1 12 4
Cartesian
0.000 0.000 0.000
2.781 1.231 0.000
5.145 1.231 0.000
3.963 -1.182 2.732
2.732 3.963 -1.182
1.231 0.000 2.781
3.963 1.182 2.732
0.000 2.781 1.231
2.732 3.963 1.182
1.231 0.000 5.145
0.000 5.145 1.231
-1.182 2.732 3.963
1.182 2.732 3.963
1.982 1.982 -1.982
1.982 -1.982 1.982
-1.982 1.982 1.982
1.982 1.982 1.982
```

Output
E = -5.71 eV/atom
Energy of formation = 130 meV/atom
Space group = Im-3
Total moment = 2.6 Bohr magnetons per cell
Calculated density = 8.28 g/cm3

=====

[16]
## UNi12As6 (GGA-PBE)

Data for a relaxed structure of UNi12As6.

Geometry as POSCAR:
```
UNi12As6
1.0
5.330 3.078 2.682
-5.330 3.078 2.682
0.000 -6.155 2.682
U Ni As
1 12 6
Cartesian
0.000 0.000 0.000
-2.018 -3.495 4.023
-4.036 0.000 4.023
-1.328 -0.767 2.666
1.328 -0.767 2.666
0.000 1.533 2.666
2.018 -3.495 4.023
-2.018 3.495 4.023
0.000 -1.533 5.380
-1.328 0.767 5.380
1.328 0.767 5.380
4.036 0.000 4.023
2.018 3.495 4.023
0.000 -2.735 3.222
-2.368 1.367 3.222
-2.368 -1.367 4.824
2.368 1.367 3.222
2.368 -1.367 4.824
0.000 2.735 4.824
```

Output
E = -5.87 eV/atom
Energy of formation = -156 meV/atom
Space group = R-3m
Total moment = 2.5 Bohr magnetons per cell
Calculated density = 8.76 g/cm3

=====

[17]
## UNi2As (GGA-PBE)

Data for a relaxed structure of UNi2As.

Geometry as POSCAR:
```
UNi2As
1.0
2.010 -5.085 0.000
2.010 5.085 0.000
0.000 0.000 6.110
U Ni As
2 4 2
Cartesian
2.010 4.297 4.582
2.010 -4.297 1.527
2.010 1.221 3.347
2.010 1.221 5.818
2.010 -1.221 0.292
2.010 -1.221 2.763
2.010 2.974 1.527
2.010 -2.974 4.582
```

Output
E = -7.29 eV/atom
Energy of formation = -412 meV/atom
Space group = Cmcm
Total moment = 2.6 Bohr magnetons per cell
Calculated density = 11.45 g/cm3

=====

[18]
## U2NiAs4 (GGA-PBE)

Data for a relaxed structure of U2NiAs4.

Geometry as POSCAR:
```
U2NiAs4
1.0
3.995 0.000 0.000
0.000 3.995 0.000
0.000 0.000 8.644
U Ni As
2 1 4
Cartesian
0.000 1.998 2.056
1.998 0.000 6.588
1.998 1.998 0.000
0.000 0.000 4.322
0.000 1.998 7.348
1.998 0.000 1.296
1.998 1.998 4.322
```

Output
E = -7.35 eV/atom
Energy of formation = -640 meV/atom
Space group = P-4m2
Total moment = 3.1 Bohr magnetons per cell
Calculated density = 10.04 g/cm3

=====

[19]
## UNiAs (GGA-PBE)

Data for a relaxed structure of UNiAs.

Geometry as POSCAR:
```
UNiAs
1.0
4.090 0.000 0.000
-2.045 3.542 0.000
0.000 0.000 15.067
U Ni As
4 4 4
Cartesian
0.000 0.000 0.000
0.000 0.000 3.767
0.000 0.000 7.533
0.000 0.000 11.300
0.000 2.362 2.353
0.000 2.362 5.181
2.045 1.181 9.886
2.045 1.181 12.714
0.000 2.362 9.322
0.000 2.362 13.278
2.045 1.181 1.788
2.045 1.181 5.745
```

Output
E = -7.81 eV/atom
Energy of formation = -575 meV/atom
Space group = P6_3/mmc
Total moment = 8.0 Bohr magnetons per cell
Calculated density = 11.31 g/cm3

=====

[20]
## VNi9As2 (GGA-PBE)

Data for a relaxed structure of VNi9As2.

Geometry as POSCAR:
```
VNi9As2
1.0
3.573 0.000 0.000
0.000 3.573 0.000
0.000 0.000 10.814
V Ni As
1 9 2
Cartesian
0.000 0.000 0.000
0.000 1.787 1.737
0.000 1.787 5.407
0.000 1.787 9.077
1.787 0.000 1.737
1.787 0.000 5.407
1.787 0.000 9.077
1.787 1.787 0.000
1.787 1.787 3.585
1.787 1.787 7.230
0.000 0.000 3.618
0.000 0.000 7.196
```

Output
E = -6.05 eV/atom
Energy of formation = -175 meV/atom
Space group = P4/mmm
Total moment = 0.0 Bohr magnetons per cell
Calculated density = 8.77 g/cm3